Entry 1:
KCaCI2: relaxed, PBE-GGA.

Geometry as POSCAR:
```
KCaCI2
1.0
5.992 0.000 0.000
0.000 5.992 0.000
0.000 0.000 4.658
K Ca C I
1 1 1 2
direct
0.000 0.000 0.000
0.500 0.500 0.000
0.500 0.500 0.500
0.000 0.500 0.500
0.500 0.000 0.500
```

## Properties
V = 33.44 Å³/atom
Fermi-level density of states = 2.4 states/eV/f.u.
Crystal system = tetragonal
Formation energy without anion corrections = 0.091 eV/atom

***

Entry 2:
BiRu2Rh2: relaxed, PBE-GGA.

Geometry as POSCAR:
```
BiRu2Rh2
1.0
7.646 0.000 0.000
0.000 7.646 0.000
0.000 0.000 2.883
Bi Ru Rh
2 4 4
direct
0.000 0.000 0.000
0.500 0.500 0.000
0.117 0.383 0.000
0.383 0.883 0.000
0.617 0.117 0.000
0.883 0.617 0.000
0.174 0.674 0.500
0.326 0.174 0.500
0.674 0.826 0.500
0.826 0.326 0.500
```

## Properties
Energy above the lowest structure with this stoichiometry = 0.0 meV/atom
Formation enthalpy at 0 K = 384 meV/atom
V = 16.85 Å³/atom
Fermi-level density of states = 6.1 states/eV/f.u.
Crystal system = tetragonal

***

Entry 3:
Nb3Tc2Ru: relaxed, PBE-GGA.

Geometry as POSCAR:
```
Nb3Tc2Ru
1.0
3.190 0.000 0.000
0.000 3.190 0.000
0.000 0.000 9.564
Nb Tc Ru
3 2 1
direct
0.000 0.000 0.000
0.000 0.000 0.331
0.000 0.000 0.669
0.500 0.500 0.168
0.500 0.500 0.832
0.500 0.500 0.500
```

## Properties
Formation enthalpy at 0 K = -303 meV/atom
V = 16.22 Å³/atom
Fermi-level density of states = 3.6 states/eV/f.u.
Crystal system = tetragonal

***

Entry 4:
ZrSc2Tl2Se6: relaxed, PBE-GGA.

Geometry as POSCAR:
```
ZrSc2Tl2Se6
1.0
3.376 -5.856 0.000
3.376 5.856 0.000
-2.260 0.000 7.859
Zr Sc Tl Se
1 2 2 6
direct
0.000 0.000 0.000
0.332 0.668 0.000
0.668 0.332 0.000
0.166 0.834 0.500
0.834 0.166 0.500
0.067 0.397 0.196
0.268 0.268 0.804
0.397 0.067 0.196
0.603 0.933 0.804
0.732 0.732 0.196
0.933 0.603 0.804
```

## Properties
V = 28.25 Å³/atom
Crystal system = monoclinic
Formation energy without anion corrections = -1.294 eV/atom

***

Entry 5:
TiCu3P4O16: relaxed, PBE-GGA.

Geometry as POSCAR:
```
TiCu3P4O16
1.0
5.177 0.000 0.000
0.000 6.036 0.000
-0.379 0.000 10.053
Ti Cu P O
1 3 4 16
direct
0.000 0.000 0.000
0.157 0.500 0.604
0.379 0.500 0.098
0.660 0.000 0.475
0.101 0.000 0.676
0.459 0.000 0.177
0.579 0.500 0.402
0.974 0.500 0.892
0.140 0.000 0.833
0.246 0.199 0.619
0.246 0.801 0.619
0.270 0.500 0.920
0.289 0.189 0.108
0.289 0.500 0.433
0.289 0.811 0.108
0.429 0.000 0.327
0.594 0.500 0.249
0.735 0.302 0.463
0.735 0.698 0.463
0.740 0.000 0.138
0.806 0.000 0.649
0.850 0.292 0.958
0.850 0.708 0.958
0.923 0.500 0.741
```

## Properties
V = 13.09 Å³/atom
Fermi-level density of states = 4.0 states/eV/f.u.
Crystal system = monoclinic
Formation energy without anion corrections = -1.764 eV/atom

***

Entry 6:
Pr8IrAu2: relaxed, PBE-GGA.

Geometry as POSCAR:
```
Pr8IrAu2
1.0
9.128 -2.598 0.000
9.128 2.598 0.000
-1.214 0.000 7.012
Pr Ir Au
8 1 2
direct
0.027 0.027 0.283
0.204 0.204 0.828
0.342 0.342 0.531
0.413 0.413 0.060
0.587 0.587 0.940
0.658 0.658 0.469
0.796 0.796 0.172
0.973 0.973 0.717
0.500 0.500 0.500
0.192 0.192 0.241
0.808 0.808 0.759
```

## Properties
Energy above the lowest structure with this stoichiometry = 0.0 meV/atom
Formation enthalpy at 0 K = -399 meV/atom
V = 30.24 Å³/atom
Fermi-level density of states = 11.3 states/eV/f.u.
Crystal system = monoclinic

***

Entry 7:
La7Y3Ho: relaxed, PBE-GGA.

Geometry as POSCAR:
```
La7Y3Ho
1.0
6.478 -5.796 0.000
6.478 5.796 0.000
-2.800 0.000 5.334
La Y Ho
7 3 1
direct
0.000 0.000 0.000
0.094 0.519 0.306
0.288 0.288 0.788
0.481 0.906 0.694
0.519 0.094 0.306
0.712 0.712 0.212
0.906 0.481 0.694
0.296 0.704 0.000
0.500 0.500 0.500
0.704 0.296 0.000
0.000 0.000 0.500
```

## Properties
Energy above the lowest structure with this stoichiometry = 91.8 meV/atom
Formation enthalpy at 0 K = 214 meV/atom
V = 36.41 Å³/atom
Fermi-level density of states = 15.7 states/eV/f.u.
Crystal system = monoclinic

***

Entry 8:
Nd2AlIn: relaxed, PBE-GGA.

Geometry as POSCAR:
```
Nd2AlIn
1.0
3.787 0.000 0.000
0.000 3.787 0.000
0.000 0.000 7.688
Nd Al In
2 1 1
direct
0.000 0.000 0.240
0.000 0.000 0.760
0.500 0.500 0.000
0.500 0.500 0.500
```

## Properties
Formation enthalpy at 0 K = -418 meV/atom
V = 27.56 Å³/atom
Fermi-level density of states = 2.0 states/eV/f.u.
Crystal system = tetragonal

***

| no. | electronic total energy (eV/atom) |
| --- | --- |
| 1 | -2.9935 |
| 2 | -7.0428 |
| 3 | -10.3388 |
| 4 | -5.5533 |
| 5 | -6.8121 |
| 6 | -5.2763 |
| 7 | -5.1004 |
| 8 | -4.4219 |